VASP calculation (PBE-GGA) on an optimized crystal structure of FeReBr2.

It has space group Cmmm (No. 65), with a = 3.0105 Å, b = 5.7162 Å, c = 8.6214 Å, α = 90.00°, β = 90.00° and γ = 90.00°. Symmetry generates all atoms from Fe at (0.0000, 0.0000, 0.0000), Re at (0.0000, 0.0000, 0.5000) and Br at (0.0000, 0.5000, 0.2543).

The value obtained for the uncorrected formation energy is 1127 meV per atom. The value obtained for the total DFT energy (no corrections) is -4.937 eV/atom. The energy relative to the lowest polymorph listed for this composition is 815 meV/atom. For the magnetization, the calculation gives 3.1 μB/f.u.